# 1
CaTmH2 | PBE | optimized geometry

Computed properties:
offset from the most stable computed form = 0 meV/atom
DOS(E_F) = 3.1 states/eV/cell

a = 3.5978 Å, b = 3.5978 Å, c = 6.2508 Å
α = 73.27°, β = 73.27°, γ = 60.00°
Fractional positions:
H (0.7161, 0.7161, 0.8518)
H (0.2839, 0.2839, 0.1482)
Ca (0.5000, 0.5000, 0.5000)
Tm (0.0000, 0.0000, 0.0000)

***

# 2
Ca5Tm3H12 | PBE | optimized geometry

Computed properties:
DOS(E_F) = 45.8 states/eV/cell
calculated total energy = -3.5483 eV/atom

a = 11.3748 Å, b = 11.3748 Å, c = 11.3748 Å
α = 109.47°, β = 109.47°, γ = 109.47°
Fractional positions:
Tm (0.7500, 0.3750, 0.1250)
Tm (0.8750, 0.7500, 0.1250)
Tm (0.3750, 0.7500, 0.6250)
Tm (0.2500, 0.1250, 0.3750)
Tm (0.8750, 0.1250, 0.2500)
Tm (0.3750, 0.6250, 0.2500)
Tm (0.6250, 0.3750, 0.7500)
Tm (0.1250, 0.8750, 0.7500)
Tm (0.7500, 0.8750, 0.6250)
Tm (0.6250, 0.2500, 0.3750)
Tm (0.1250, 0.2500, 0.8750)
Tm (0.2500, 0.6250, 0.8750)
Ca (0.1250, 0.3750, 0.2500)
Ca (0.0000, 0.5000, 0.0000)
Ca (0.0000, 0.0000, 0.0000)
Ca (0.3750, 0.2500, 0.1250)
Ca (0.5000, 0.0000, 0.5000)
Ca (0.5000, 0.5000, 0.0000)
Ca (0.1250, 0.7500, 0.3750)
Ca (0.7500, 0.1250, 0.8750)
Ca (0.7500, 0.6250, 0.3750)
Ca (0.3750, 0.1250, 0.7500)
Ca (0.6250, 0.8750, 0.2500)
Ca (0.5000, 0.5000, 0.5000)
Ca (0.5000, 0.0000, 0.0000)
Ca (0.0000, 0.0000, 0.5000)
Ca (0.2500, 0.3750, 0.6250)
Ca (0.2500, 0.8750, 0.1250)
Ca (0.0000, 0.5000, 0.5000)
Ca (0.8750, 0.2500, 0.6250)
Ca (0.6250, 0.7500, 0.8750)
Ca (0.8750, 0.6250, 0.7500)
H (0.7285, 0.1565, 0.0684)
H (0.3399, 0.5684, 0.4119)
H (0.9316, 0.3435, 0.2715)
H (0.5684, 0.2285, 0.1565)
H (0.5720, 0.7285, 0.6601)
H (0.9316, 0.5881, 0.1601)
H (0.3399, 0.7715, 0.4280)
H (0.0881, 0.9280, 0.1565)
H (0.5881, 0.9316, 0.6601)
H (0.7285, 0.5720, 0.1601)
H (0.7715, 0.4316, 0.3435)
H (0.8399, 0.9119, 0.0684)
H (0.1565, 0.7285, 0.5684)
H (0.3435, 0.4119, 0.0720)
H (0.0720, 0.9119, 0.3435)
H (0.4280, 0.1565, 0.5881)
H (0.0720, 0.1601, 0.2285)
H (0.4316, 0.6601, 0.0881)
H (0.8399, 0.9280, 0.2715)
H (0.1565, 0.4280, 0.0881)
H (0.3435, 0.9316, 0.7715)
H (0.5881, 0.6565, 0.4280)
H (0.9119, 0.8399, 0.5684)
H (0.7715, 0.3399, 0.9280)
H (0.4119, 0.3435, 0.5720)
H (0.0881, 0.1601, 0.4316)
H (0.2285, 0.6601, 0.0720)
H (0.1601, 0.0720, 0.7285)
H (0.6565, 0.0684, 0.2285)
H (0.8435, 0.5720, 0.9119)
H (0.5684, 0.3399, 0.9119)
H (0.5720, 0.8435, 0.4119)
H (0.9280, 0.8399, 0.7715)
H (0.9280, 0.0881, 0.6565)
H (0.8435, 0.2715, 0.4316)
H (0.1601, 0.0881, 0.9316)
H (0.6565, 0.5881, 0.9280)
H (0.4119, 0.0684, 0.3399)
H (0.2715, 0.4280, 0.8399)
H (0.2285, 0.5684, 0.6565)
H (0.9119, 0.0720, 0.8435)
H (0.6601, 0.2285, 0.5720)
H (0.4316, 0.7715, 0.8435)
H (0.0684, 0.4119, 0.8399)
H (0.4280, 0.2715, 0.3399)
H (0.0684, 0.6565, 0.7285)
H (0.6601, 0.4316, 0.5881)
H (0.2715, 0.8435, 0.9316)

***

Look up the DOS(E_F) of the first one.
3.1 states/eV/cell